Record 1
In3Ru | GGA-PBE | relaxed

The structure in POSCAR format:
```
In3Ru
1.0
7.451 0.000 0.000
0.000 8.547 0.000
0.000 0.000 5.332
In Ru
12 4
Direct
0.015 0.250 0.098
0.169 0.051 0.622
0.169 0.449 0.622
0.331 0.551 0.122
0.331 0.949 0.122
0.485 0.750 0.598
0.515 0.250 0.402
0.669 0.051 0.878
0.669 0.449 0.878
0.831 0.551 0.378
0.831 0.949 0.378
0.985 0.750 0.902
0.132 0.750 0.410
0.368 0.250 0.910
0.632 0.750 0.090
0.868 0.250 0.590
```

Summary:
DFT total energy: -4.45 eV per atom
Space-group type: Pnma
V: 21.2 Å³/atom
M_tot: 0.0 μB per formula unit

***

Record 2
InRu2 | GGA-PBE | relaxed

The structure in POSCAR format:
```
InRu2
1.0
-1.436 1.436 5.842
1.436 -1.436 5.842
1.436 1.436 -5.842
In Ru
1 2
Direct
0.000 0.000 0.000
0.319 0.319 0.000
0.681 0.681 0.000
```

Summary:
DFT total energy: -7.02 eV per atom
Space-group type: I4/mmm
V: 16.1 Å³/atom
M_tot: 0.0 μB per formula unit

***

Record 3
In7Ru | GGA-PBE | relaxed

The structure in POSCAR format:
```
In7Ru
1.0
0.000 4.519 4.519
4.519 0.000 4.519
4.519 4.519 0.000
In Ru
7 1
Direct
0.000 0.000 0.000
0.000 0.000 0.500
0.000 0.500 0.000
0.000 0.500 0.500
0.500 0.000 0.000
0.500 0.000 0.500
0.500 0.500 0.000
0.500 0.500 0.500
```

Summary:
DFT total energy: -3.31 eV per atom
Space-group type: Fm-3m
V: 23.1 Å³/atom
M_tot: 0.7 μB per formula unit